The following is a GGA-PBE calculation of crystalline KMgW2 at its relaxed geometry, from Alexandria.

Properties
- ΔE_f: 7.2 eV per formula unit
- DFT total energy: -5.356 eV per atom
- Calculated volume: 210.4 Å³/cell

Unit cell a=4.449 b=4.449 c=11.086 alpha=78.42 beta=78.42 gamma=90.00
Fractional coordinates of all 8 atoms:
1 W 0.480 0.125 0.250
2 W 0.270 0.625 0.250
3 W 0.875 0.730 0.750
4 K 0.750 0.250 0.500
5 K 0.000 0.000 0.000
6 W 0.375 0.520 0.750
7 Mg 0.250 0.750 0.500
8 Mg 0.500 0.500 0.000